ErTl2 | GGA-PBE | relaxed

Summary:
The space group is Fd-3m, No. 227.

Cell lengths 6.1916, 6.1916, 6.1916 Å; angles 60.00, 60.00, 60.00 degrees
Closest atoms and distances in Å follow each position.
Fractional positions:
Tl 0.1250 0.6250 0.6250  6 Tl 3.10
Tl 0.6250 0.1250 0.6250  6 Tl 3.10
Tl 0.6250 0.6250 0.6250  6 Tl 3.10
Tl 0.6250 0.6250 0.1250  6 Tl 3.10
Er 0.0000 0.0000 0.0000  12 Tl 3.63, 4 Er 3.79
Er 0.2500 0.2500 0.2500  12 Tl 3.63, 4 Er 3.79


Tb4PmHo7 | GGA-PBE | relaxed

Summary:
The space group is C2/m, No. 12. The calculation puts the excess energy over the best structure of this formula in the dataset at 0.188 eV/atom.

Cell lengths 5.8535, 11.5238, 6.6948 Å; angles 83.26, 64.08, 75.29 degrees
Closest atoms and distances in Å follow each position.
Fractional positions:
Tb 0.6346 0.2247 0.5060  7 Ho 3.36-3.60, 2 Tb 3.63
Tb 0.3654 0.7753 0.4940  7 Ho 3.36-3.60, 2 Tb 3.63
Tb 0.7572 0.6796 0.8060  5 Ho 3.26-3.65, 2 Tb 3.63
Tb 0.2428 0.3204 0.1940  5 Ho 3.26-3.65, 2 Tb 3.63
Pm 0.0000 0.0000 0.0000  4 Ho 2.93-3.12
Ho 0.7890 0.9229 0.4991  1 Pm 3.12, 4 Ho 3.14-3.39, 4 Tb 3.27-3.37
Ho 0.2110 0.0771 0.5009  1 Pm 3.12, 4 Ho 3.14-3.39, 4 Tb 3.27-3.37
Ho 0.0620 0.6754 0.2007  4 Ho 3.27-3.53, 3 Tb 3.60-3.65
Ho 0.9380 0.3246 0.7993  4 Ho 3.27-3.53, 3 Tb 3.60-3.65
Ho 0.3666 0.5008 0.7660  4 Ho 3.20-3.53, 5 Tb 3.26-3.55
Ho 0.5000 0.0000 0.0000  2 Pm 2.93, 2 Ho 3.14
Ho 0.6334 0.4992 0.2340  4 Ho 3.20-3.53, 5 Tb 3.26-3.55


| no. | E_form (eV/atom) | E_tot (eV per atom) |
| --- | --- | --- |
| 1 | 0.02 | -3.074 |
| 2 | 0.27 | -4.335 |